{"formula": "AlSb", "functional": "GGA-PBE", "state": "optimized geometry", "volume_a3_per_cell": 440.6, "e_form_raw_mev_per_atom": -51, "density_g_cm3": 4.485, "sg": "Pa-3", "energy_ev_per_atom": -3.98, "dos_ef_per_ev_cell": 0.629, "lattice": [[7.609, 0.000, 0.000], [0.000, 7.609, 0.000], [0.000, 0.000, 7.609]], "species": ["Al", "Al", "Al", "Al", "Al", "Al", "Al", "Al", "Sb", "Sb", "Sb", "Sb", "Sb", "Sb", "Sb", "Sb"], "frac_coords": [[0.157, 0.157, 0.157], [0.157, 0.343, 0.657], [0.343, 0.657, 0.157], [0.343, 0.843, 0.657], [0.657, 0.157, 0.343], [0.657, 0.343, 0.843], [0.843, 0.657, 0.343], [0.843, 0.843, 0.843], [0.141, 0.641, 0.859], [0.141, 0.859, 0.359], [0.359, 0.141, 0.859], [0.359, 0.359, 0.359], [0.641, 0.641, 0.641], [0.641, 0.859, 0.141], [0.859, 0.141, 0.641], [0.859, 0.359, 0.141]]}



{"formula": "MgNbSb2I", "functional": "GGA-PBE", "state": "optimized geometry", "volume_a3_per_cell": 151.8, "e_form_raw_mev_per_atom": 1099, "density_g_cm3": 5.335, "sg": "P4/mmm", "energy_ev_per_atom": -3.19, "polymorph_energy_kcal_per_mol_atoms": 18.34, "dos_ef_per_ev_cell": 7.773, "lattice": [[5.262, 0.000, 0.000], [0.000, 5.262, 0.000], [0.000, 0.000, 5.482]], "species": ["Mg", "Nb", "Sb", "Sb", "I"], "frac_coords": [[0.000, 0.000, 0.000], [0.500, 0.500, 0.500], [0.000, 0.500, 0.000], [0.500, 0.000, 0.000], [0.000, 0.000, 0.500]]}



{"formula": "KSb2Mo", "functional": "GGA-PBE", "state": "optimized geometry", "volume_a3_per_cell": 106.1, "e_form_raw_mev_per_atom": -29, "density_g_cm3": 5.926, "sg": "R-3m", "energy_ev_per_atom": -5.07, "polymorph_energy_kcal_per_mol_atoms": 1.28, "dos_ef_per_ev_cell": 1.438, "lattice": [[1.801, 1.040, 9.441], [-1.801, 1.040, 9.441], [0.000, -2.080, 9.441]], "species": ["K", "Sb", "Sb", "Mo"], "frac_coords": [[0.000, 0.000, 0.000], [0.231, 0.231, 0.231], [0.769, 0.769, 0.769], [0.500, 0.500, 0.500]]}